(w)
The following is a PBE calculation of crystalline Nd6Mg2Hg at its relaxed geometry, from Alexandria via LeMat-Bulk. Values from VASP.

Computed properties:
The value obtained for the theoretical density is 6.530 Mg/m³. For the volume, the calculation gives 31.5 Å³/atom. As for the density of states at the Fermi level: 9.4 states/eV/cell. The total moment comes out at 0.0000 μB per atom.

Quantum ESPRESSO input file:
```
&SYSTEM
  ibrav = 0, nat = 9, ntyp = 3
/
ATOMIC_SPECIES
Nd 144.24 Nd.upf
Mg 24.30 Mg.upf
Hg 200.59 Hg.upf
CELL_PARAMETERS angstrom
-1.7016 3.1669 -0.8003
-8.3700 -2.3027 0.2093
-2.1897 3.1153 8.5089
ATOMIC_POSITIONS crystal
Nd 0.0449 0.0967 0.8135
Nd 0.3058 0.2874 0.1011
Nd 0.6942 0.7126 0.8989
Nd 0.3217 0.8165 0.5400
Nd 0.6783 0.1835 0.4600
Nd 0.9551 0.9033 0.1865
Mg 0.4101 0.4369 0.7429
Mg 0.5899 0.5631 0.2571
Hg 0.0000 0.5000 0.5000
```

=====

(x)
The following is a PBE calculation of crystalline Nd6Mg2Hg at its relaxed geometry, from Alexandria via LeMat-Bulk. Values from VASP.

Computed properties:
The value obtained for the theoretical density is 6.337 Mg/m³. For the volume, the calculation gives 32.5 Å³/atom. As for the density of states at the Fermi level: 20.5 states/eV/cell. The total moment comes out at 0.0000 μB per atom.

Quantum ESPRESSO input file:
```
&SYSTEM
  ibrav = 0, nat = 18, ntyp = 3
/
ATOMIC_SPECIES
Nd 144.24 Nd.upf
Mg 24.30 Mg.upf
Hg 200.59 Hg.upf
CELL_PARAMETERS angstrom
-0.8602 5.5193 3.3580
-8.6597 1.2355 -4.2489
-4.2655 -3.1427 7.7795
ATOMIC_POSITIONS crystal
Nd 0.8754 0.9589 0.1978
Nd 0.8959 0.6687 0.5277
Nd 0.9156 0.6975 0.9351
Nd 0.5844 0.1975 0.5649
Nd 0.6041 0.1687 0.9723
Nd 0.6246 0.4589 0.3022
Nd 0.1246 0.0411 0.8022
Nd 0.1041 0.3313 0.4723
Nd 0.0844 0.3025 0.0649
Nd 0.4156 0.8025 0.4351
Nd 0.3959 0.8313 0.0277
Nd 0.3754 0.5411 0.6978
Mg 0.8589 0.4046 0.7821
Mg 0.6411 0.9046 0.7179
Mg 0.3589 0.0954 0.2821
Mg 0.1411 0.5954 0.2179
Hg 0.5000 0.5000 0.0000
Hg 0.0000 0.0000 0.5000
```

=====

Comparing the structures above, (w) comes out on top by 72 meV/atom.